The following is a SCAN calculation of Na2CaPd at its PBEsol-relaxed geometry, from Alexandria.

Computed properties:
Crystal system ... cubic
Calculated density ... 3.4 g cm⁻³
Magnetic moment ... 0.0 μB/f.u.
Energy of formation from the pure elements ... -3 meV per atom

abc: 5.0903 5.0903 5.0903
angles: 60.00 60.00 60.00
Atoms (fractional coordinates):
Na1 0.2500 0.2500 0.2500
Na2 0.7500 0.7500 0.7500
Ca1 0.0000 0.0000 0.0000
Pd1 0.5000 0.5000 0.5000